## Li2VSiO4 (PBE+U)

Data for a relaxed Li2VSiO4 crystal.

Calculated values
Magnetization = 0.375 μB/atom
DOS at the Fermi energy = 0.005 states/eV/atom
Calculated total energy = -6.6209 eV per atom

Unit cell a=4.0359 b=4.0359 c=8.7539 alpha=90.00 beta=90.00 gamma=90.00
Last column: nearest neighbours and their distance in Å.
Space group I-4m2 (No. 119)
Unique sites:
Li 0.0000 0.0000 0.0000 (multiplicity 2)  4 O 2.02
Li 0.0000 0.5000 0.2500 (multiplicity 2)  6 O 2.08-2.21
V 0.0000 0.5000 0.7500 (multiplicity 2)  6 O 2.08-2.16
Si 0.0000 0.0000 0.5000 (multiplicity 2)  2 O 1.70
O 0.0000 0.0000 0.3056 (multiplicity 4)  1 Si 1.70
O 0.0000 0.5000 0.5029 (multiplicity 4)  3 Li 2.02-2.21, 2 Si 2.02, 1 V 2.16